The following is a GGA-PBE calculation of a relaxed YRePb2O6 crystal, from the Alexandria database.

Space-group type: Pmmn (59)
E_form (uncorrected) in meV per atom: -1805
Total moment in μB per formula unit: 1.96

a b c (Å): 5.8590 8.3898 6.1474
angles (deg): 90.00 90.00 90.00
Positions (direct):
Y 0.2500 0.2500 0.2151
Y 0.7500 0.7500 0.7849
Re 0.2500 0.7500 0.2583
Re 0.7500 0.2500 0.7417
Pb 0.2500 0.0339 0.6894
Pb 0.2500 0.4661 0.6894
Pb 0.7500 0.5339 0.3106
Pb 0.7500 0.9661 0.3106
O 0.0030 0.2500 0.5151
O 0.0082 0.7500 0.0460
O 0.2500 0.5146 0.2850
O 0.2500 0.9854 0.2850
O 0.4918 0.7500 0.0460
O 0.4970 0.2500 0.5151
O 0.5030 0.7500 0.4849
O 0.5082 0.2500 0.9540
O 0.7500 0.0146 0.7150
O 0.7500 0.4854 0.7150
O 0.9918 0.2500 0.9540
O 0.9970 0.7500 0.4849